[1]
4
Lattice="-4.074 -0.761 2.815 0.489 -1.350 4.800 -1.167 3.235 3.644" Properties=species:S:1:pos:R:3 comment="NpPaAsSe (GGA-PBE, optimized geometry)" total_magnetization_mub_per_cell=6.43 spacegroup="F-43m, No. 216" e_form_raw_mev_per_atom=-822.7 vol_a3_per_atom=22.23 dos_at_fermi_per_ev_atom=3.866 pbc="T T T"
Np 0.000 0.000 0.000
Pa -2.376 0.562 5.630
As -3.565 0.843 8.444
Se -1.188 0.281 2.815

***

[2]
4
Lattice="-2.631 2.191 0.418 -1.704 -1.557 -2.563 -2.332 -3.502 3.679" Properties=species:S:1:pos:R:3 comment="ZrMnRh2 (GGA-PBE, optimized geometry)" total_magnetization_mub_per_cell=3.87 spacegroup="P4mm, No. 99" formation_enthalpy_0k_kj_per_mol_fu=-110 vol_a3_per_atom=16.63 dos_at_fermi_per_ev_atom=0.951 pbc="T T T"
Zr -1.110 -1.667 1.751
Rh -2.221 -3.335 3.503
Mn -4.034 -2.485 1.871
Rh -2.801 -0.634 -0.074

***

[3]
4
Lattice="-2.669 -3.599 -2.102 1.230 -4.739 0.726 -2.875 -2.902 2.794" Properties=species:S:1:pos:R:3 comment="EuThRu2 (GGA-PBE, optimized geometry)" total_magnetization_mub_per_cell=6.52 spacegroup="Fm-3m, No. 225" formation_enthalpy_0k_kj_per_mol_fu=-44 e_above_lowest_polymorph_kj_per_mol_atoms=3.20 vol_a3_per_atom=21.43 dos_at_fermi_per_ev_atom=1.854 pbc="T T T"
Ru -1.078 -2.810 0.355
Th 0.000 0.000 0.000
Eu -2.157 -5.620 0.709
Ru -3.235 -8.430 1.064